Record 1
VASP calculation (GGA-PBE) on crystalline SmTa2MnC4 at its relaxed geometry.

Values from the calculation:
N(E_F): 0.461 states/eV/atom
Symmetry: Cmcm, No. 63
Calculated formation energy: -0.35 eV per atom
Spin magnetization: 0.00 μB per formula unit
E: -154.539 eV for the cell shown
Volume: 196.5 Å³/cell

a b c (Å): 3.240 5.799 10.892
angles (deg): 90.00 90.00 106.23
Sites, in units of the cell vectors:
Ta  0.630  0.260  0.457
Ta  0.370  0.740  0.543
Ta  0.630  0.260  0.043
Ta  0.370  0.740  0.957
C  0.000  0.000  0.000
C  0.264  0.527  0.115
C  0.581  0.161  0.250
C  0.000  0.000  0.500
C  0.419  0.839  0.750
C  0.736  0.473  0.885
C  0.264  0.527  0.385
C  0.736  0.473  0.615
Sm  0.902  0.804  0.250
Sm  0.098  0.196  0.750
Mn  0.832  0.665  0.750
Mn  0.168  0.335  0.250

---

Record 2
VASP calculation (GGA-PBE) on crystalline NdAl4AgAu2 at its relaxed geometry.

Values from the calculation:
N(E_F): 0.234 states/eV/atom
Symmetry: R-3m, No. 166
Calculated formation energy: -0.40 eV per atom
Spin magnetization: 0.00 μB per formula unit
E: -32.308 eV for the cell shown
Volume: 153.9 Å³/cell

a b c (Å): 4.390 4.390 9.560
angles (deg): 76.73 76.73 60.00
Sites, in units of the cell vectors:
Nd  0.000  0.000  0.000
Ag  0.500  0.500  0.500
Al  0.124  0.124  0.628
Al  0.401  0.401  0.798
Al  0.876  0.876  0.372
Al  0.599  0.599  0.202
Au  0.758  0.758  0.727
Au  0.242  0.242  0.273

---

> Among the records above, which one has the highest E?

NdAl4AgAu2

---

> What is the formula in the second record?

NdAl4AgAu2

---

> Which value of spin magnetization does entry 1 give?

0.00 μB per formula unit